No. 1
A plane-wave DFT calculation with GGA-PBE was carried out for Pr2Mg2Al after structural relaxation.

Values from the calculation:
Space-group type ... C2/m, No. 12
DFT total energy ... -3.450 eV/atom
ΔH_f (0 K) ... -0.152 eV per atom

a = 5.2604 Å, b = 5.2605 Å, c = 8.3199 Å
α = 50.80°, β = 50.80°, γ = 59.93°
Last column: nearest neighbours and their distance in Å.
Atoms (fractional coordinates):
Pr (0.7947, 0.7947, 0.8082)  3 Al 3.23, 3 Mg 3.40, 1 Pr 3.51
Pr (0.2053, 0.2053, 0.1918)  3 Al 3.23, 3 Mg 3.40, 1 Pr 3.51
Al (0.0000, 0.0000, 0.0000)  2 Mg 3.07, 6 Pr 3.23
Mg (0.6399, 0.6398, 0.5401)  3 Mg 3.07, 1 Al 3.07, 3 Pr 3.40
Mg (0.3601, 0.3602, 0.4599)  3 Mg 3.07, 1 Al 3.07, 3 Pr 3.40



No. 2
A plane-wave DFT calculation with GGA-PBE was carried out for Pr8MgAl2 after structural relaxation.

Values from the calculation:
Space-group type ... Immm, No. 71
Excess energy over the best structure of this formula in the dataset ... 0.025 eV/atom
DFT total energy ... -4.388 eV/atom
ΔH_f (0 K) ... -0.086 eV per atom

a = 5.1687 Å, b = 8.9204 Å, c = 9.1262 Å
α = 119.26°, β = 106.45°, γ = 90.00°
Last column: nearest neighbours and their distance in Å.
Atoms (fractional coordinates):
Al (0.8033, 0.3033, 0.6066)  10 Pr 3.27-3.49
Al (0.1967, 0.6967, 0.3934)  10 Pr 3.27-3.49
Mg (0.5000, 0.0000, 0.0000)  8 Pr 3.41-3.50
Pr (0.6603, 0.4436, 0.3206)  3 Al 3.27-3.32, 5 Pr 3.48-3.62, 1 Mg 3.50
Pr (0.8521, 0.8521, 0.7041)  2 Mg 3.41, 8 Pr 3.48-3.64, 2 Al 3.49
Pr (0.0000, 0.6772, 0.0000)  1 Pr 3.16, 2 Al 3.36
Pr (0.1479, 0.1479, 0.2959)  2 Mg 3.41, 8 Pr 3.48-3.64, 2 Al 3.49
Pr (0.3397, 0.1230, 0.6794)  3 Al 3.27-3.32, 5 Pr 3.48-3.62, 1 Mg 3.50
Pr (0.3397, 0.5564, 0.6794)  3 Al 3.27-3.32, 5 Pr 3.48-3.62, 1 Mg 3.50
Pr (0.0000, 0.3228, 0.0000)  1 Pr 3.16, 2 Al 3.36
Pr (0.6603, 0.8770, 0.3206)  3 Al 3.27-3.32, 5 Pr 3.48-3.62, 1 Mg 3.50



No. 3
A plane-wave DFT calculation with GGA-PBE was carried out for PrMg11Al after structural relaxation.

Values from the calculation:
Space-group type ... C2/m, No. 12
DFT total energy ... -2.072 eV/atom
ΔH_f (0 K) ... -0.067 eV per atom

a = 5.8808 Å, b = 7.7227 Å, c = 7.8066 Å
α = 81.91°, β = 67.87°, γ = 68.06°
Last column: nearest neighbours and their distance in Å.
Atoms (fractional coordinates):
Mg (0.0000, 0.5000, 0.0000)  2 Al 2.94, 8 Mg 2.95-3.09
Mg (0.0000, 0.0000, 0.5000)  10 Mg 2.94-3.16
Mg (0.4999, 0.7843, 0.2104)  1 Al 2.92, 7 Mg 2.95-3.23
Mg (0.6457, 0.3555, 0.3475)  8 Mg 3.02-3.35, 1 Al 3.09
Mg (0.2897, 0.2157, 0.2104)  1 Al 2.92, 7 Mg 2.95-3.23
Mg (0.0068, 0.6445, 0.3475)  8 Mg 3.02-3.35, 1 Al 3.09
Mg (0.3543, 0.6445, 0.6525)  8 Mg 3.02-3.35, 1 Al 3.09
Mg (0.9932, 0.3555, 0.6525)  8 Mg 3.02-3.35, 1 Al 3.09
Mg (0.5000, 0.0000, 0.5000)  10 Mg 2.94-3.16
Mg (0.7103, 0.7843, 0.7896)  1 Al 2.92, 7 Mg 2.95-3.23
Mg (0.5001, 0.2157, 0.7896)  1 Al 2.92, 7 Mg 2.95-3.23
Al (0.5000, 0.5000, 0.0000)  10 Mg 2.92-3.09
Pr (0.0000, 0.0000, 0.0000)  18 Mg 3.58-3.90, 2 Al 3.88



No. 4
A plane-wave DFT calculation with GGA-PBE was carried out for PrMgAl after structural relaxation.

Values from the calculation:
Space-group type ... Pmma, No. 51
DFT total energy ... -3.622 eV/atom
ΔH_f (0 K) ... -0.249 eV per atom

a = 3.7353 Å, b = 4.8002 Å, c = 8.7153 Å
α = 90.00°, β = 90.00°, γ = 90.00°
Last column: nearest neighbours and their distance in Å.
Atoms (fractional coordinates):
Mg (0.8114, 0.7162, 0.4857)  2 Mg 2.86, 1 Al 2.87
Mg (0.8114, 0.2162, 0.3072)  2 Mg 2.86, 1 Al 2.87
Pr (0.3117, 0.7162, 0.1181)  6 Al 3.23-3.28, 4 Mg 3.46
Pr (0.3117, 0.2162, 0.6748)  6 Al 3.23-3.28, 4 Mg 3.46
Al (0.8118, 0.2162, 0.9777)  2 Al 2.79, 1 Mg 2.87
Al (0.8118, 0.7162, 0.8152)  2 Al 2.79, 1 Mg 2.87